{
  "formula": "Sr5NpN5",
  "functional": "PBE-GGA",
  "state": "optimized geometry",
  "lattice": [[5.846, -2.646, 0.000], [5.846, 2.646, 0.000], [-2.294, 0.000, 7.041]],
  "species": ["Sr", "Sr", "Sr", "Sr", "Sr", "Np", "N", "N", "N", "N", "N"],
  "fractional_positions": [[0.000, 0.000, 0.000], [0.326, 0.332, 0.191], [0.329, 0.330, 0.655], [0.668, 0.674, 0.809], [0.670, 0.671, 0.345], [0.014, 0.986, 0.500], [0.132, 0.141, 0.772], [0.135, 0.139, 0.359], [0.432, 0.568, 0.500], [0.859, 0.868, 0.228], [0.861, 0.865, 0.641]],
  "e_form_raw_ev_per_atom": -0.80,
  "m_tot_mub_per_atom": 0.072
}

***

{
  "formula": "Sr2Np3N8",
  "functional": "PBE-GGA",
  "state": "optimized geometry",
  "lattice": [[6.897, 0.000, 0.000], [-3.449, 5.973, 0.000], [0.000, 0.000, 10.924]],
  "species": ["Sr", "Sr", "Sr", "Sr", "Np", "Np", "Np", "Np", "Np", "Np", "N", "N", "N", "N", "N", "N", "N", "N", "N", "N", "N", "N", "N", "N", "N", "N"],
  "fractional_positions": [[0.333, 0.667, 0.000], [0.333, 0.667, 0.369], [0.667, 0.333, 0.500], [0.667, 0.333, 0.869], [0.166, 0.332, 0.711], [0.166, 0.834, 0.711], [0.332, 0.166, 0.211], [0.668, 0.834, 0.711], [0.834, 0.166, 0.211], [0.834, 0.668, 0.211], [0.000, 0.000, 0.300], [0.000, 0.000, 0.800], [0.064, 0.532, 0.807], [0.152, 0.303, 0.133], [0.152, 0.848, 0.133], [0.303, 0.152, 0.633], [0.333, 0.667, 0.613], [0.468, 0.532, 0.807], [0.468, 0.936, 0.807], [0.532, 0.064, 0.307], [0.532, 0.468, 0.307], [0.667, 0.333, 0.113], [0.697, 0.848, 0.133], [0.848, 0.152, 0.633], [0.848, 0.697, 0.633], [0.936, 0.468, 0.307]],
  "e_form_raw_ev_per_atom": -0.84,
  "m_tot_mub_per_atom": 0.080
}

***

{
  "formula": "Sr2Np2N7",
  "functional": "PBE-GGA",
  "state": "optimized geometry",
  "lattice": [[4.490, -4.777, 0.000], [4.490, 4.777, 0.000], [0.000, 0.000, 4.159]],
  "species": ["Sr", "Sr", "Np", "Np", "N", "N", "N", "N", "N", "N", "N"],
  "fractional_positions": [[0.217, 0.217, 0.000], [0.783, 0.783, 0.000], [0.222, 0.778, 0.500], [0.778, 0.222, 0.500], [0.000, 0.000, 0.500], [0.076, 0.437, 0.500], [0.220, 0.780, 0.000], [0.437, 0.076, 0.500], [0.563, 0.924, 0.500], [0.780, 0.220, 0.000], [0.924, 0.563, 0.500]],
  "e_form_raw_ev_per_atom": -0.70,
  "m_tot_mub_per_atom": 0.108
}

***

{
  "formula": "Sr4Np3N8",
  "functional": "PBE-GGA",
  "state": "optimized geometry",
  "lattice": [[3.502, 2.022, 6.275], [-3.502, 2.022, 6.275], [0.000, -4.044, 6.275]],
  "species": ["Sr", "Sr", "Sr", "Sr", "Np", "Np", "Np", "N", "N", "N", "N", "N", "N", "N", "N"],
  "fractional_positions": [[0.000, 0.000, 0.000], [0.154, 0.154, 0.154], [0.500, 0.500, 0.500], [0.846, 0.846, 0.846], [0.000, 0.500, 0.500], [0.500, 0.000, 0.500], [0.500, 0.500, 0.000], [0.248, 0.248, 0.693], [0.248, 0.693, 0.248], [0.282, 0.282, 0.282], [0.307, 0.752, 0.752], [0.693, 0.248, 0.248], [0.718, 0.718, 0.718], [0.752, 0.307, 0.752], [0.752, 0.752, 0.307]],
  "e_form_raw_ev_per_atom": -0.90,
  "m_tot_mub_per_atom": 0.333
}

***

{
  "formula": "SrNpN",
  "functional": "PBE-GGA",
  "state": "optimized geometry",
  "lattice": [[6.009, 0.000, 0.000], [0.000, 3.219, 0.000], [0.000, 0.000, 15.082]],
  "species": ["Sr", "Sr", "Sr", "Sr", "Np", "Np", "Np", "Np", "N", "N", "N", "N"],
  "fractional_positions": [[0.250, 0.250, 0.070], [0.250, 0.750, 0.570], [0.750, 0.250, 0.430], [0.750, 0.750, 0.930], [0.199, 0.250, 0.295], [0.301, 0.750, 0.795], [0.699, 0.250, 0.205], [0.801, 0.750, 0.705], [0.089, 0.250, 0.711], [0.411, 0.750, 0.211], [0.589, 0.250, 0.789], [0.911, 0.750, 0.289]],
  "e_form_raw_ev_per_atom": -0.26,
  "m_tot_mub_per_atom": 1.320
}

***

{
  "formula": "Sr3Np2N7",
  "functional": "PBE-GGA",
  "state": "optimized geometry",
  "lattice": [[2.142, -11.053, 0.000], [2.142, 11.053, 0.000], [0.000, 0.000, 4.191]],
  "species": ["Sr", "Sr", "Sr", "Np", "Np", "N", "N", "N", "N", "N", "N", "N"],
  "fractional_positions": [[0.000, 0.000, 0.000], [0.177, 0.823, 0.000], [0.823, 0.177, 0.000], [0.405, 0.595, 0.500], [0.595, 0.405, 0.500], [0.095, 0.905, 0.500], [0.316, 0.684, 0.500], [0.405, 0.595, 0.000], [0.500, 0.500, 0.500], [0.595, 0.405, 0.000], [0.684, 0.316, 0.500], [0.905, 0.095, 0.500]],
  "e_form_raw_ev_per_atom": -0.79,
  "m_tot_mub_per_atom": 0.000
}